# CdCu3Au GGA-PBE relaxed
# **Raw total energy**: -11.4 eV/cell
# **Energy of formation from the pure elements**: 1.01 eV/atom
# **Calculated density**: 7.8 g/cm³
# **Energy relative to the lowest polymorph listed for this composition**: 337.8 meV per atom
data_CdCu3Au
_chemical_formula_sum 'Cd1 Cu3 Au1'
_space_group_name_H-M_alt 'P m -3 m'
_space_group_IT_number 221
_space_group_name_Hall '-P 4 2 3'
_cell_length_a 4.734
_cell_length_b 4.734
_cell_length_c 4.734
_cell_angle_alpha 90.00
_cell_angle_beta 90.00
_cell_angle_gamma 90.00
loop_
_atom_site_label
_atom_site_fract_x
_atom_site_fract_y
_atom_site_fract_z
Cd1 0.000 0.000 0.000
Cu1 0.000 0.000 0.500
Au1 0.500 0.500 0.500

=====

# PuAg5S6 GGA-PBE relaxed
# **Raw total energy**: -114.4 eV/cell
# **Uncorrected formation energy**: -0.32 eV per atom
# **Calculated density**: 6.8 g/cm³
data_PuAg5S6
_chemical_formula_sum 'Pu2 Ag10 S12'
_space_group_name_H-M_alt 'C 1 2/m 1'
_space_group_IT_number 12
_space_group_name_Hall '-C 2y'
_cell_length_a 6.819
_cell_length_b 11.196
_cell_length_c 6.649
_cell_angle_alpha 90.00
_cell_angle_beta 110.64
_cell_angle_gamma 90.00
loop_
_atom_site_label
_atom_site_fract_x
_atom_site_fract_y
_atom_site_fract_z
Pu1 0.000 0.000 0.000
Ag1 0.000 0.148 0.500
Ag2 0.000 0.323 0.000
Ag3 0.000 0.500 0.500
S1 0.222 0.500 0.209
S2 0.227 0.165 0.269

=====

# Tb8PrTm3 GGA-PBE relaxed
# **Raw total energy**: -102.3 eV/cell
# **Energy of formation from the pure elements**: 0.34 eV/atom
# **Calculated density**: 7.7 g/cm³
data_Tb8PrTm3
_chemical_formula_sum 'Tb16 Pr2 Tm6'
_space_group_name_H-M_alt 'I m m m'
_space_group_IT_number 71
_space_group_name_Hall '-I 2 2'
_cell_length_a 6.444
_cell_length_b 11.269
_cell_length_c 11.385
_cell_angle_alpha 90.00
_cell_angle_beta 90.00
_cell_angle_gamma 90.00
loop_
_atom_site_label
_atom_site_fract_x
_atom_site_fract_y
_atom_site_fract_z
Tb1 0.000 0.168 0.249
Tb2 0.244 0.261 0.500
Pr1 0.000 0.000 0.500
Tm1 0.000 0.000 0.000
Tm2 0.000 0.500 0.262

=====

# Nd5Sm2Sc2 GGA-PBE relaxed
# **Raw total energy**: -179.9 eV/cell
# **Energy of formation from the pure elements**: 0.11 eV/atom
# **Calculated density**: 6.3 g/cm³
# **Energy relative to the lowest polymorph listed for this composition**: 0.0 meV per atom
data_Nd5Sm2Sc2
_chemical_formula_sum 'Nd20 Sm8 Sc8'
_space_group_name_H-M_alt 'I m m a'
_space_group_IT_number 74
_space_group_name_Hall '-I 2b 2'
_cell_length_a 5.570
_cell_length_b 21.021
_cell_length_c 10.062
_cell_angle_alpha 90.00
_cell_angle_beta 90.00
_cell_angle_gamma 90.00
loop_
_atom_site_label
_atom_site_fract_x
_atom_site_fract_y
_atom_site_fract_z
Nd1 0.000 0.111 0.136
Nd2 0.000 0.157 0.629
Nd3 0.000 0.250 0.340
Sm1 0.000 0.000 0.500
Sm2 0.000 0.250 0.941
Sc1 0.000 0.045 0.838